1.
Compound: Na2SrLiTl
Source: Alexandria via LeMat-Bulk
Functional: PBE-GGA
Structure: relaxed

a b c (Å): 5.428 5.428 5.431
angles (deg): 90.00 90.00 90.00
Fractional positions:
1 Na 0.000 0.500 0.000
2 Na 0.500 0.000 0.000
3 Sr 0.000 0.000 0.500
4 Li 0.500 0.500 0.000
5 Tl 0.500 0.500 0.500

Properties
space-group type: P4/mmm (123)
ΔH_f (0 K): -0.006 eV per atom
DFT total energy: -8.63 eV per cell



2.
Compound: NaSr2Li5Zn2
Source: Alexandria via LeMat-Bulk
Functional: PBE-GGA
Structure: relaxed

a b c (Å): 10.951 10.951 4.492
angles (deg): 90.00 90.00 90.00
Fractional positions:
1 Na 0.000 0.000 0.000
2 Na 0.500 0.500 0.000
3 Sr 0.181 0.319 0.000
4 Sr 0.319 0.819 0.000
5 Sr 0.681 0.181 0.000
6 Sr 0.819 0.681 0.000
7 Li 0.000 0.500 0.500
8 Li 0.066 0.768 0.500
9 Li 0.232 0.066 0.500
10 Li 0.268 0.566 0.500
11 Li 0.434 0.268 0.500
12 Li 0.500 0.000 0.500
13 Li 0.566 0.732 0.500
14 Li 0.732 0.434 0.500
15 Li 0.768 0.934 0.500
16 Li 0.934 0.232 0.500
17 Zn 0.108 0.608 0.000
18 Zn 0.392 0.108 0.000
19 Zn 0.608 0.892 0.000
20 Zn 0.892 0.392 0.000

Properties
space-group type: P4/mbm (127)
ΔH_f (0 K): -0.053 eV per atom
DFT total energy: -34.67 eV per cell



Question: Which of these has the lowest ΔH_f (0 K)?
Answer: NaSr2Li5Zn2



Question: DFT total energy of number 1 (Na2SrLiTl)?
Answer: -8.63 eV per cell



Question: What is the ΔH_f (0 K) in the second record?
Answer: -0.053 eV per atom